[1]
PrMnSi2: PBEsol geometry, SCAN. Values from VASP.

Geometry as Quantum ESPRESSO input:
```
&SYSTEM
  ibrav = 0, nat = 8, ntyp = 3
/
ATOMIC_SPECIES
Pr 140.91 Pr.upf
Si 28.09 Si.upf
Mn 54.94 Mn.upf
ATOMIC_POSITIONS angstrom
Pr 1.6059 -5.0579 0.4559
Pr 3.2277 -3.1009 5.7666
Si 2.9416 -5.6616 3.9834
Si 1.8921 -2.4972 2.2391
Si 3.8098 -6.0541 6.2762
Si 1.0239 -2.1047 -0.0538
Mn 1.0927 -4.2322 3.5887
Mn 3.7409 -3.9266 2.6337
CELL_PARAMETERS angstrom
-2.4665 -3.0778 0.4071
2.8327 -2.4679 -1.4950
4.4674 -2.6131 7.3103
```

Properties
DOS(E_F), states/eV/f.u.: 0.97
Calculated density, g cm⁻³: 5.98
Uncorrected formation energy, eV per atom: -0.66
DFT total energy, eV/atom: -21.059

***

[2]
K2LiP: PBEsol geometry, SCAN. Values from VASP.

Geometry as Quantum ESPRESSO input:
```
&SYSTEM
  ibrav = 0, nat = 4, ntyp = 3
/
ATOMIC_SPECIES
P 30.97 P.upf
K 39.10 K.upf
Li 6.94 Li.upf
ATOMIC_POSITIONS angstrom
P 0.0000 2.8270 1.5334
K 2.2258 2.8270 4.1603
K 2.2258 0.0000 2.5083
Li 2.2258 2.8270 0.8226
CELL_PARAMETERS angstrom
4.4516 0.0000 0.0000
0.0000 5.6540 0.0000
-2.2258 -2.8270 4.5123
```

Properties
Calculated density, g cm⁻³: 1.70
Energy relative to the elements, eV per formula unit: -1.79
DFT total energy, eV/atom: -7.809

***

[3]
BaSr2: PBEsol geometry, SCAN. Values from VASP.

Geometry as Quantum ESPRESSO input:
```
&SYSTEM
  ibrav = 0, nat = 6, ntyp = 2
/
ATOMIC_SPECIES
Sr 87.62 Sr.upf
Ba 137.33 Ba.upf
ATOMIC_POSITIONS angstrom
Sr 2.3804 1.6728 8.3531
Sr 0.0000 5.0185 1.6990
Sr 0.0000 1.6728 5.0595
Sr 2.3804 5.0185 4.9926
Ba 2.3804 1.6728 1.6794
Ba 0.0000 5.0185 8.3727
CELL_PARAMETERS angstrom
4.7608 0.0000 0.0000
0.0000 6.6914 0.0000
-2.3804 0.0000 10.0521
```

Properties
DOS(E_F), states/eV/f.u.: 3.24
Calculated density, g cm⁻³: 3.24
Energy relative to the elements, eV per formula unit: 0.05
DFT total energy, eV/atom: -28.017

***

[4]
Ga2TcCSe: PBEsol geometry, SCAN. Values from VASP.

Geometry as Quantum ESPRESSO input:
```
&SYSTEM
  ibrav = 0, nat = 5, ntyp = 4
/
ATOMIC_SPECIES
C 12.01 C.upf
Ga 69.72 Ga.upf
Tc 98.00 Tc.upf
Se 78.96 Se.upf
ATOMIC_POSITIONS angstrom
C -1.7971 -0.3279 -0.5638
Ga -0.0177 -2.0999 1.2776
Ga 0.8384 -1.2062 -1.9709
Tc 0.0000 0.0000 0.0000
Se -0.9764 -3.6340 -1.2570
CELL_PARAMETERS angstrom
-3.5942 -0.6558 -1.1276
1.6768 -2.4124 -3.9418
-0.0353 -4.1998 2.5553
```

Properties
DOS(E_F), states/eV/f.u.: 3.99
Calculated density, g cm⁻³: 5.90
Uncorrected formation energy, eV per atom: 0.75
DFT total energy, eV/atom: -18.838

***

[5]
Cr2SiCl: PBEsol geometry, SCAN. Values from VASP.

Geometry as Quantum ESPRESSO input:
```
&SYSTEM
  ibrav = 0, nat = 4, ntyp = 3
/
ATOMIC_SPECIES
Cl 35.45 Cl.upf
Cr 52.00 Cr.upf
Si 28.09 Si.upf
ATOMIC_POSITIONS angstrom
Cl -0.8439 0.9844 0.7151
Cr 2.6824 3.6127 4.3243
Cr -0.0958 3.1531 1.6786
Si 2.1372 2.3985 2.2864
CELL_PARAMETERS angstrom
-1.6877 1.9689 1.4302
0.2184 -0.3543 3.8116
4.0560 5.1512 0.7612
```

Properties
DOS(E_F), states/eV/f.u.: 2.18
Calculated density, g cm⁻³: 4.13
Uncorrected formation energy, eV per atom: -0.16
DFT total energy, eV/atom: -13.852

***

[6]
Y2SbOs: PBEsol geometry, SCAN. Values from VASP.

Geometry as Quantum ESPRESSO input:
```
&SYSTEM
  ibrav = 0, nat = 4, ntyp = 3
/
ATOMIC_SPECIES
Os 190.23 Os.upf
Sb 121.76 Sb.upf
Y 88.91 Y.upf
ATOMIC_POSITIONS angstrom
Os 2.1067 2.1067 0.0000
Sb 0.0000 2.1067 2.4541
Y 0.0000 0.0000 0.0000
Y 2.1067 0.0000 2.4541
CELL_PARAMETERS angstrom
4.2134 0.0000 0.0000
0.0000 4.2134 0.0000
-2.1067 -2.1067 4.9081
```

Properties
DOS(E_F), states/eV/f.u.: 4.20
Calculated density, g cm⁻³: 9.33
Uncorrected formation energy, eV per atom: -0.31
DFT total energy, eV/atom: -41.519

***

[7]
Sc2MnCl: PBEsol geometry, SCAN. Values from VASP.

Geometry as Quantum ESPRESSO input:
```
&SYSTEM
  ibrav = 0, nat = 4, ntyp = 3
/
ATOMIC_SPECIES
Sc 44.96 Sc.upf
Mn 54.94 Mn.upf
Cl 35.45 Cl.upf
ATOMIC_POSITIONS angstrom
Sc 2.3874 -0.1809 0.1604
Sc -0.1136 -2.2447 -0.8408
Mn -0.1338 -0.5196 1.4052
Cl 2.1400 -2.9452 0.7248
CELL_PARAMETERS angstrom
-0.2676 -1.0391 2.8104
-0.2273 -4.4893 -1.6815
4.7749 -0.3619 0.3208
```

Properties
DOS(E_F), states/eV/f.u.: 3.11
Calculated density, g cm⁻³: 4.32
Uncorrected formation energy, eV per atom: -0.41
DFT total energy, eV/atom: -14.085

***

[8]
Co3BF: PBEsol geometry, SCAN. Values from VASP.

Geometry as Quantum ESPRESSO input:
```
&SYSTEM
  ibrav = 0, nat = 5, ntyp = 3
/
ATOMIC_SPECIES
B 10.81 B.upf
Co 58.93 Co.upf
F 19.00 F.upf
ATOMIC_POSITIONS angstrom
B -0.4834 -3.1707 -0.6612
Co -0.3986 -0.7109 -1.7060
Co 1.2638 -1.3783 0.2791
Co -1.3486 -1.0815 0.7657
F 0.0000 0.0000 0.0000
CELL_PARAMETERS angstrom
-2.6972 -2.1630 1.5315
-0.7971 -1.4218 -3.4120
2.5276 -2.7566 0.5581
```

Properties
DOS(E_F), states/eV/f.u.: 2.48
Calculated density, g cm⁻³: 6.35
Uncorrected formation energy, eV per atom: 0.79
DFT total energy, eV/atom: -11.783